Entry 1:
## LuInSn2 (GGA-PBE)

Data for a geometry-optimized LuInSn2 structure.

* crystal system: tetragonal
* formation energy from the elements: -0.3366 eV/atom
* DOS(E_F): 1.3 states/eV/cell
* calculated volume: 101.02 Å³ per cell
* raw total energy: -16.61 eV/cell

Unit cell a=4.7078 b=4.7078 c=4.5581 alpha=90.00 beta=90.00 gamma=90.00
Closest atoms and distances in Å follow each position.
Space group P4/mmm (No. 123)
Symmetry-distinct sites (fractional):
Lu 0.0000 0.0000 0.0000 (multiplicity 1)  8 Sn 3.28, 4 In 3.33
In 0.5000 0.5000 0.0000 (multiplicity 1)  8 Sn 3.28, 4 Lu 3.33
Sn 0.0000 0.5000 0.5000 (multiplicity 2)  4 In 3.28, 4 Lu 3.28, 4 Sn 3.33


Entry 2:
## Lu2InSn (GGA-PBE)

Data for a geometry-optimized Lu2InSn structure.

* crystal system: tetragonal
* formation energy from the elements: -0.4352 eV/atom
* DOS(E_F): 3.1 states/eV/cell
* calculated volume: 102.24 Å³ per cell
* raw total energy: -17.52 eV/cell

Unit cell a=3.8542 b=3.8542 c=6.8828 alpha=90.00 beta=90.00 gamma=90.00
Closest atoms and distances in Å follow each position.
Space group P4/mmm (No. 123)
Symmetry-distinct sites (fractional):
Lu 0.0000 0.0000 0.2467 (multiplicity 2)  4 Sn 3.21, 4 In 3.24, 2 Lu 3.40-3.49
In 0.5000 0.5000 0.5000 (multiplicity 1)  8 Lu 3.24, 2 Sn 3.44
Sn 0.5000 0.5000 0.0000 (multiplicity 1)  8 Lu 3.21, 2 In 3.44


Entry 3:
## LuIn2Sn (GGA-PBE)

Data for a geometry-optimized LuIn2Sn structure.

* crystal system: tetragonal
* formation energy from the elements: -0.3317 eV/atom
* DOS(E_F): 2.4 states/eV/cell
* calculated volume: 99.20 Å³ per cell
* raw total energy: -15.33 eV/cell

Unit cell a=4.5301 b=4.5301 c=4.8339 alpha=90.00 beta=90.00 gamma=90.00
Closest atoms and distances in Å follow each position.
Space group P4/mmm (No. 123)
Symmetry-distinct sites (fractional):
Lu 0.0000 0.0000 0.0000 (multiplicity 1)  4 Sn 3.20, 8 In 3.31
In 0.0000 0.5000 0.5000 (multiplicity 2)  4 In 3.20, 4 Sn 3.31, 4 Lu 3.31
Sn 0.5000 0.5000 0.0000 (multiplicity 1)  4 Lu 3.20, 8 In 3.31


Entry 4:
## SrLuInSn (GGA-PBE)

Data for a geometry-optimized SrLuInSn structure.

* crystal system: cubic
* formation energy from the elements: -0.3989 eV/atom
* DOS(E_F): 10.6 states/eV/cell
* calculated volume: 464.54 Å³ per cell
* raw total energy: -58.16 eV/cell

Unit cell a=7.7447 b=7.7447 c=7.7447 alpha=90.00 beta=90.00 gamma=90.00
Closest atoms and distances in Å follow each position.
Space group F-43m (No. 216)
Symmetry-distinct sites (fractional):
Sr 0.0000 0.0000 0.0000 (multiplicity 4)  4 Sn 3.35, 4 In 3.35
Lu 0.0000 0.0000 0.5000 (multiplicity 4)  4 In 3.35, 4 Sn 3.35
In 0.2500 0.2500 0.2500 (multiplicity 4)  4 Sr 3.35, 4 Lu 3.35
Sn 0.2500 0.2500 0.7500 (multiplicity 4)  4 Lu 3.35, 4 Sr 3.35


Entry 5:
## TbLuInSn (GGA-PBE)

Data for a geometry-optimized TbLuInSn structure.

* crystal system: cubic
* formation energy from the elements: -0.4650 eV/atom
* DOS(E_F): 14.1 states/eV/cell
* calculated volume: 421.15 Å³ per cell
* raw total energy: -71.01 eV/cell

Unit cell a=7.4957 b=7.4957 c=7.4957 alpha=90.00 beta=90.00 gamma=90.00
Closest atoms and distances in Å follow each position.
Space group F-43m (No. 216)
Symmetry-distinct sites (fractional):
Tb 0.0000 0.0000 0.0000 (multiplicity 4)  4 In 3.25, 4 Sn 3.25
Lu 0.0000 0.0000 0.5000 (multiplicity 4)  4 Sn 3.25, 4 In 3.25
In 0.2500 0.2500 0.2500 (multiplicity 4)  4 Tb 3.25, 4 Lu 3.25
Sn 0.2500 0.2500 0.7500 (multiplicity 4)  4 Tb 3.25, 4 Lu 3.25


Entry 6:
## LuThInSn (GGA-PBE)

Data for a geometry-optimized LuThInSn structure.

* crystal system: cubic
* formation energy from the elements: -0.3539 eV/atom
* DOS(E_F): 13.5 states/eV/cell
* calculated volume: 440.28 Å³ per cell
* raw total energy: -80.39 eV/cell

Unit cell a=7.6075 b=7.6075 c=7.6075 alpha=90.00 beta=90.00 gamma=90.00
Closest atoms and distances in Å follow each position.
Space group F-43m (No. 216)
Symmetry-distinct sites (fractional):
Lu 0.0000 0.0000 0.0000 (multiplicity 4)  4 In 3.29, 4 Sn 3.29
Th 0.0000 0.0000 0.5000 (multiplicity 4)  4 Sn 3.29, 4 In 3.29
In 0.2500 0.2500 0.7500 (multiplicity 4)  4 Th 3.29, 4 Lu 3.29
Sn 0.2500 0.2500 0.2500 (multiplicity 4)  4 Lu 3.29, 4 Th 3.29


Entry 7:
## TmLuInSn (GGA-PBE)

Data for a geometry-optimized TmLuInSn structure.

* crystal system: cubic
* formation energy from the elements: -0.4390 eV/atom
* DOS(E_F): 14.1 states/eV/cell
* calculated volume: 412.82 Å³ per cell
* raw total energy: -69.96 eV/cell

Unit cell a=7.4459 b=7.4459 c=7.4459 alpha=90.00 beta=90.00 gamma=90.00
Closest atoms and distances in Å follow each position.
Space group F-43m (No. 216)
Symmetry-distinct sites (fractional):
Tm 0.0000 0.0000 0.0000 (multiplicity 4)  4 Sn 3.22, 4 In 3.22
Lu 0.0000 0.0000 0.5000 (multiplicity 4)  4 In 3.22, 4 Sn 3.22
In 0.2500 0.2500 0.7500 (multiplicity 4)  4 Tm 3.22, 4 Lu 3.22
Sn 0.2500 0.2500 0.2500 (multiplicity 4)  4 Lu 3.22, 4 Tm 3.22


Entry 8:
## YLuInSn (GGA-PBE)

Data for a geometry-optimized YLuInSn structure.

* crystal system: cubic
* formation energy from the elements: -0.4704 eV/atom
* DOS(E_F): 14.1 states/eV/cell
* calculated volume: 420.20 Å³ per cell
* raw total energy: -78.43 eV/cell

Unit cell a=7.4901 b=7.4901 c=7.4901 alpha=90.00 beta=90.00 gamma=90.00
Closest atoms and distances in Å follow each position.
Space group F-43m (No. 216)
Symmetry-distinct sites (fractional):
Y 0.0000 0.0000 0.0000 (multiplicity 4)  4 In 3.24, 4 Sn 3.24
Lu 0.0000 0.0000 0.5000 (multiplicity 4)  4 Sn 3.24, 4 In 3.24
In 0.2500 0.2500 0.7500 (multiplicity 4)  4 Y 3.24, 4 Lu 3.24
Sn 0.2500 0.2500 0.2500 (multiplicity 4)  4 Y 3.24, 4 Lu 3.24